(1)
First-principles (PBE) data for a geometry-optimized Li2TaSF structure, as listed in the Alexandria database.

Cell lengths 3.527, 3.527, 5.996 Å; angles 90.00, 90.00, 90.00 degrees
Atoms (fractional coordinates):
Li 0.000 0.500 0.000
Li 0.500 0.000 0.000
Ta 0.000 0.000 0.500
S 0.500 0.500 0.500
F 0.500 0.500 0.000

## Properties
size of the total moment = 0.00 μB per atom
SG = P4/mmm, No. 123
formation energy (no corrections) = -0.977 eV/atom
N(E_F) = 0.2680 states/eV per atom

(2)
First-principles (PBE) data for a geometry-optimized LiSb2F structure, as listed in the Alexandria database.

Cell lengths 4.711, 4.711, 4.711 Å; angles 60.00, 60.00, 60.00 degrees
Atoms (fractional coordinates):
Li 0.000 0.000 0.000
Sb 0.250 0.250 0.250
Sb 0.750 0.750 0.750
F 0.500 0.500 0.500

## Properties
size of the total moment = 0.00 μB per atom
SG = Fm-3m, No. 225
formation energy (no corrections) = -0.598 eV/atom
N(E_F) = 0.0200 states/eV per atom

(3)
First-principles (PBE) data for a geometry-optimized LiSb2F structure, as listed in the Alexandria database.

Cell lengths 11.245, 11.245, 11.245 Å; angles 158.78, 158.78, 30.19 degrees
Atoms (fractional coordinates):
Li 0.000 0.000 0.000
Li 0.750 0.250 0.500
Sb 0.117 0.625 0.992
Sb 0.375 0.367 0.492
Sb 0.633 0.125 0.008
Sb 0.875 0.883 0.508
F 0.250 0.750 0.500
F 0.500 0.500 0.000

## Properties
size of the total moment = 0.00 μB per atom
SG = I-42d, No. 122
formation energy (no corrections) = -0.663 eV/atom
N(E_F) = 0.4317 states/eV per atom